The following is a PBE calculation of an optimized crystal structure of Dy4CSO2, from Alexandria.

Properties
Space group = No. 10
Formation energy from raw total energies = -2032 meV per atom
Total DFT energy (no corrections) = -7.2416 eV per atom
DOS(E_F) = 2.32 states/eV/cell

Cell lengths 3.589, 6.137, 6.334 Å; angles 70.40, 90.00, 90.00 degrees
Element x y z (fractional)
C1 0.000 0.500 0.500
Dy1 0.500 0.247 0.733
Dy2 0.000 0.762 0.723
Dy3 0.000 0.238 0.277
Dy4 0.500 0.753 0.267
O1 0.500 0.000 0.500
O2 0.000 0.000 0.000
S1 0.500 0.500 0.000


The following is a PBE calculation of an optimized crystal structure of Dy6C3S2O, from Alexandria.

Properties
Space group = No. 12
Formation energy from raw total energies = -1375 meV per atom
Total DFT energy (no corrections) = -7.0835 eV per atom
DOS(E_F) = 1.63 states/eV/cell

Cell lengths 3.661, 7.481, 8.322 Å; angles 104.28, 102.71, 90.00 degrees
Element x y z (fractional)
Dy1 0.007 0.748 0.014
Dy2 0.344 0.396 0.687
Dy3 0.656 0.604 0.313
Dy4 0.332 0.940 0.663
Dy5 0.668 0.060 0.337
Dy6 0.993 0.252 0.986
S1 0.167 0.333 0.334
S2 0.833 0.667 0.666
O1 0.500 0.000 0.000
C1 0.164 0.837 0.328
C2 0.836 0.163 0.672
C3 0.500 0.500 0.000


The following is a PBE calculation of an optimized crystal structure of Dy4CS2O, from Alexandria.

Properties
Space group = No. 10
Formation energy from raw total energies = -1871 meV per atom
Total DFT energy (no corrections) = -6.9769 eV per atom
DOS(E_F) = 2.25 states/eV/cell

Cell lengths 3.678, 6.323, 6.600 Å; angles 108.74, 90.00, 90.00 degrees
Element x y z (fractional)
Dy1 0.500 0.234 0.213
Dy2 0.000 0.253 0.785
Dy3 0.000 0.747 0.215
Dy4 0.500 0.766 0.787
C1 0.000 0.000 0.000
S1 0.000 0.500 0.500
S2 0.500 0.000 0.500
O1 0.500 0.500 0.000


The following is a PBE calculation of an optimized crystal structure of Dy8C3S4O, from Alexandria.

Properties
Space group = No. 166
Formation energy from raw total energies = -1607 meV per atom
Total DFT energy (no corrections) = -6.9791 eV per atom
DOS(E_F) = 3.74 states/eV/cell

Cell lengths 7.382, 7.597, 7.382 Å; angles 119.07, 120.00, 90.00 degrees
Element x y z (fractional)
O1 0.000 0.500 0.000
C1 0.000 0.500 0.500
C2 0.500 0.500 0.500
C3 0.500 0.500 0.000
S1 0.500 0.000 0.000
S2 0.000 0.000 0.000
S3 0.000 0.000 0.500
S4 0.500 0.000 0.500
Dy1 0.261 0.284 0.523
Dy2 0.759 0.286 0.518
Dy3 0.739 0.716 0.477
Dy4 0.268 0.286 0.027
Dy5 0.732 0.714 0.973
Dy6 0.759 0.286 0.027
Dy7 0.241 0.714 0.973
Dy8 0.241 0.714 0.482


The following is a PBE calculation of an optimized crystal structure of DyScCO, from Alexandria.

Properties
Space group = No. 44
Formation energy from raw total energies = -1287 meV per atom
Total DFT energy (no corrections) = -7.5662 eV per atom
DOS(E_F) = 0.84 states/eV/cell

Cell lengths 3.054, 3.161, 6.162 Å; angles 104.86, 104.35, 90.00 degrees
Element x y z (fractional)
Sc1 0.082 0.082 0.164
C1 0.659 0.659 0.318
Dy1 0.826 0.326 0.651
O1 0.412 0.912 0.825


The following is a PBE calculation of an optimized crystal structure of SrDyC2O6, from Alexandria.

Properties
Space group = No. 15
Formation energy from raw total energies = -2119 meV per atom
Total DFT energy (no corrections) = -7.5668 eV per atom
DOS(E_F) = 3.55 states/eV/cell

Cell lengths 6.325, 6.325, 6.833 Å; angles 102.76, 102.76, 100.64 degrees
Element x y z (fractional)
O1 0.597 0.073 0.317
O2 0.479 0.713 0.111
O3 0.521 0.287 0.889
O4 0.403 0.927 0.683
O5 0.808 0.786 0.885
O6 0.927 0.403 0.183
O7 0.192 0.214 0.115
O8 0.214 0.192 0.615
O9 0.713 0.479 0.611
O10 0.786 0.808 0.385
O11 0.073 0.597 0.817
O12 0.287 0.521 0.389
C1 0.877 0.640 0.756
C2 0.360 0.123 0.744
C3 0.640 0.877 0.256
C4 0.123 0.360 0.244
Dy1 0.412 0.588 0.750
Dy2 0.588 0.412 0.250
Sr1 0.858 0.142 0.750
Sr2 0.142 0.858 0.250


Please write out number 2 again, unchanged.
The following is a PBE calculation of an optimized crystal structure of Dy6C3S2O, from Alexandria.

Properties
Space group = No. 12
Formation energy from raw total energies = -1375 meV per atom
Total DFT energy (no corrections) = -7.0835 eV per atom
DOS(E_F) = 1.63 states/eV/cell

Cell lengths 3.661, 7.481, 8.322 Å; angles 104.28, 102.71, 90.00 degrees
Element x y z (fractional)
Dy1 0.007 0.748 0.014
Dy2 0.344 0.396 0.687
Dy3 0.656 0.604 0.313
Dy4 0.332 0.940 0.663
Dy5 0.668 0.060 0.337
Dy6 0.993 0.252 0.986
S1 0.167 0.333 0.334
S2 0.833 0.667 0.666
O1 0.500 0.000 0.000
C1 0.164 0.837 0.328
C2 0.836 0.163 0.672
C3 0.500 0.500 0.000


- Among the records above, which one has the lowest total DFT energy (no corrections)?
  SrDyC2O6


- Look up the DOS(E_F) of the fourth one.
  3.74 states/eV/cell